The following is a PBE-GGA calculation of a relaxed structure of NaMg4In7, from Alexandria.

The calculation puts the formation energy at 0.032 eV/atom. The excess energy over the best structure of this formula in the dataset is 0.97 eV/f.u. For the volume, the calculation gives 26.8 Å³/atom. The total energy is -2.207 eV per atom.

It has space group C2/m (No. 12), with a = 12.6354 Å, b = 5.6444 Å, c = 11.0026 Å, α = 90.00°, β = 124.99° and γ = 90.00°. The distinct sites, in fractional coordinates, are Na at (0.0000, 0.0000, 0.0000), Mg at (0.0727, 0.5000, 0.7740), Mg at (0.2142, 0.5000, 0.3194), In at (0.0000, 0.5000, 0.0000), In at (0.0703, 0.0000, 0.3616), In at (0.1459, 0.5000, 0.5575) and In at (0.2147, 0.0000, 0.9049).

---

The following is a PBE-GGA calculation of a relaxed structure of La6Tl7, from Alexandria.

The calculation puts the formation energy at -0.287 eV/atom. For the volume, the calculation gives 30.8 Å³/atom. The total energy is -3.836 eV per atom.

It has space group R-3m (No. 166, hexagonal axes), with a = 6.4176 Å, b = 6.4176 Å, c = 33.6525 Å, α = 90.00°, β = 90.00° and γ = 120.00°. The distinct sites, in fractional coordinates, are La at (0.0000, 0.0000, 0.0525), La at (0.0000, 0.0000, 0.1479), La at (0.0000, 0.0000, 0.3354), Tl at (0.0000, 0.0000, 0.5000) and Tl at (0.0072, 0.5036, 0.9094).

---

The following is a PBE-GGA calculation of a relaxed structure of Na3Ga9Au2, from Alexandria.

The calculation puts the formation energy at -0.196 eV/atom. For the volume, the calculation gives 20.0 Å³/atom. The total energy is -2.892 eV per atom.

It has space group Immm (No. 71), with a = 4.3710 Å, b = 9.9986 Å, c = 12.8288 Å, α = 90.00°, β = 90.00° and γ = 90.00°. The distinct sites, in fractional coordinates, are Na at (0.0000, 0.0000, 0.0000), Na at (0.0000, 0.0000, 0.3202), Ga at (0.0000, 0.2814, 0.1287), Ga at (0.0000, 0.3693, 0.3227), Ga at (0.0000, 0.5000, 0.0000) and Au at (0.0000, 0.2330, 0.5000).

---

The following is a PBE-GGA calculation of a relaxed structure of PmTcI, from Alexandria.

The value obtained for the formation energy from raw total energies is -0.45 eV/atom. The excess energy over the best structure of this formula in the dataset is 0.75 eV/f.u. For the volume, the calculation gives 32.8 Å³/atom. The total energy is -6.005 eV per atom.

It has space group P-1 (No. 2), with a = 4.1086 Å, b = 4.1104 Å, c = 13.4362 Å, α = 89.70°, β = 89.64° and γ = 60.10°. The distinct sites, in fractional coordinates, are Pm at (0.1630, 0.1657, 0.1930), Tc at (0.1670, 0.1671, 0.9831) and I at (0.1732, 0.1690, 0.6471).

---

The following is a PBE-GGA calculation of a relaxed structure of K3Na2In5, from Alexandria.

The calculation puts the formation energy at -0.034 eV/atom. For the volume, the calculation gives 37.2 Å³/atom. The total energy is -1.997 eV per atom.

It has space group Ibam (No. 72), with a = 14.5098 Å, b = 14.6344 Å, c = 7.0060 Å, α = 90.00°, β = 90.00° and γ = 90.00°. The distinct sites, in fractional coordinates, are K at (0.0000, 0.0000, 0.2500), K at (0.2097, 0.3969, 0.0000), Na at (0.1686, 0.1628, 0.0000), In at (0.0000, 0.2507, 0.2500), In at (0.0000, 0.5000, 0.2500) and In at (0.1202, 0.3731, 0.5000).

---

The following is a PBE-GGA calculation of a relaxed structure of Ho8Ru3Au2, from Alexandria.

The calculation puts the formation energy at -0.478 eV/atom. For the volume, the calculation gives 25.2 Å³/atom. The total energy is -5.939 eV per atom.

It has space group P2/m (No. 10), with a = 8.4711 Å, b = 4.8448 Å, c = 8.4906 Å, α = 90.00°, β = 110.18° and γ = 90.00°. The distinct sites, in fractional coordinates, are Ho at (0.1162, 0.0000, 0.3841), Ho at (0.1355, 0.5000, 0.8685), Ho at (0.3694, 0.5000, 0.6356), Ho at (0.3809, 0.0000, 0.1182), Ru at (0.2507, 0.0000, 0.7502), Ru at (0.5000, 0.5000, 0.0000) and Au at (0.2477, 0.5000, 0.2518).